Below is crystalline YZnTe2I at its relaxed geometry, with properties calculated at the PBE level.

Computed properties:
- DOS(E_F) (states/eV per atom) = 1.42
- total magnetic moment (μB per formula unit) = 0.00
- uncorrected formation energy (meV/atom) = -273

Unit cell a=5.9351 b=5.9351 c=5.9596 alpha=90.00 beta=90.00 gamma=90.00
Last column: nearest neighbours and their distance in Å.
Fractional positions:
Y 0.0000 0.0000 0.0000  4 Te 2.97, 2 I 2.98
Zn 0.5000 0.5000 0.5000  4 I 4.20, 8 Te 4.21
Te 0.0000 0.5000 0.0000  2 Y 2.97
Te 0.5000 0.0000 0.0000  2 Y 2.97
I 0.0000 0.0000 0.5000  2 Y 2.98